# Mn2RuCl, single point on PBEsol structure, DFT SCAN
data_Mn2RuCl
_chemical_formula_sum 'Mn4 Ru2 Cl2'
_cell_length_a 3.5428
_cell_length_b 3.5428
_cell_length_c 9.1259
_cell_angle_alpha 90.00
_cell_angle_beta 90.00
_cell_angle_gamma 90.00
_space_group_name_H-M_alt 'I -4 m 2'
_space_group_IT_number 119
_space_group_name_Hall 'I -4 -2'
loop_
_atom_site_label
_atom_site_type_symbol
_atom_site_fract_x
_atom_site_fract_y
_atom_site_fract_z
Mn1 Mn 0.0000 0.0000 0.0000
Mn2 Mn 0.0000 0.5000 0.2500
Ru1 Ru 0.0000 0.0000 0.5000
Cl1 Cl 0.0000 0.5000 0.7500
# DOS(E_F) in states/eV/atom: 0.5811
# VASP energy in eV/atom: -19.43


# ScMnS2Cl, single point on PBEsol structure, DFT SCAN
data_ScMnS2Cl
_chemical_formula_sum 'Sc1 Mn1 S2 Cl1'
_cell_length_a 4.9019
_cell_length_b 4.9019
_cell_length_c 4.7133
_cell_angle_alpha 90.00
_cell_angle_beta 90.00
_cell_angle_gamma 90.00
_space_group_name_H-M_alt 'P 4/m m m'
_space_group_IT_number 123
_space_group_name_Hall '-P 4 2'
loop_
_atom_site_label
_atom_site_type_symbol
_atom_site_fract_x
_atom_site_fract_y
_atom_site_fract_z
Sc1 Sc 0.0000 0.0000 0.0000
Mn1 Mn 0.5000 0.5000 0.5000
S1 S 0.0000 0.5000 0.0000
Cl1 Cl 0.0000 0.0000 0.5000
# DOS(E_F) in states/eV/atom: 0.1649
# VASP energy in eV/atom: -12.96


# MnSeS2Cl, single point on PBEsol structure, DFT SCAN
data_MnSeS2Cl
_chemical_formula_sum 'Mn1 Se1 S2 Cl1'
_cell_length_a 4.5264
_cell_length_b 4.5264
_cell_length_c 4.4043
_cell_angle_alpha 90.00
_cell_angle_beta 90.00
_cell_angle_gamma 90.00
_space_group_name_H-M_alt 'P 4/m m m'
_space_group_IT_number 123
_space_group_name_Hall '-P 4 2'
loop_
_atom_site_label
_atom_site_type_symbol
_atom_site_fract_x
_atom_site_fract_y
_atom_site_fract_z
Mn1 Mn 0.0000 0.0000 0.0000
Se1 Se 0.5000 0.5000 0.5000
S1 S 0.0000 0.5000 0.0000
Cl1 Cl 0.0000 0.0000 0.5000
# DOS(E_F) in states/eV/atom: 0.6106
# VASP energy in eV/atom: -13.01
# Offset from the most stable computed form in eV/atom: 0.0000


# MnSeS2Cl, single point on PBEsol structure, DFT SCAN
data_MnSeS2Cl
_chemical_formula_sum 'Mn1 Se1 S2 Cl1'
_cell_length_a 4.5809
_cell_length_b 4.5809
_cell_length_c 4.8521
_cell_angle_alpha 90.00
_cell_angle_beta 90.00
_cell_angle_gamma 90.00
_space_group_name_H-M_alt 'P 4/m m m'
_space_group_IT_number 123
_space_group_name_Hall '-P 4 2'
loop_
_atom_site_label
_atom_site_type_symbol
_atom_site_fract_x
_atom_site_fract_y
_atom_site_fract_z
Mn1 Mn 0.0000 0.0000 0.0000
Se1 Se 0.5000 0.5000 0.0000
S1 S 0.0000 0.5000 0.5000
Cl1 Cl 0.0000 0.0000 0.5000
# DOS(E_F) in states/eV/atom: 0.8229
# VASP energy in eV/atom: -12.25
# Offset from the most stable computed form in eV/atom: 0.7590


# MnSiS2Cl, single point on PBEsol structure, DFT SCAN
data_MnSiS2Cl
_chemical_formula_sum 'Mn1 Si1 S2 Cl1'
_cell_length_a 4.5956
_cell_length_b 4.5956
_cell_length_c 4.4580
_cell_angle_alpha 90.00
_cell_angle_beta 90.00
_cell_angle_gamma 90.00
_space_group_name_H-M_alt 'P 4/m m m'
_space_group_IT_number 123
_space_group_name_Hall '-P 4 2'
loop_
_atom_site_label
_atom_site_type_symbol
_atom_site_fract_x
_atom_site_fract_y
_atom_site_fract_z
Mn1 Mn 0.0000 0.0000 0.0000
Si1 Si 0.5000 0.5000 0.5000
S1 S 0.0000 0.5000 0.0000
Cl1 Cl 0.0000 0.0000 0.5000
# DOS(E_F) in states/eV/atom: 0.1911
# VASP energy in eV/atom: -11.11


# MnSiSCl2, single point on PBEsol structure, DFT SCAN
data_MnSiSCl2
_chemical_formula_sum 'Mn1 Si1 S1 Cl2'
_cell_length_a 4.5979
_cell_length_b 4.5979
_cell_length_c 4.7328
_cell_angle_alpha 90.00
_cell_angle_beta 90.00
_cell_angle_gamma 90.00
_space_group_name_H-M_alt 'P 4/m m m'
_space_group_IT_number 123
_space_group_name_Hall '-P 4 2'
loop_
_atom_site_label
_atom_site_type_symbol
_atom_site_fract_x
_atom_site_fract_y
_atom_site_fract_z
Mn1 Mn 0.0000 0.0000 0.0000
Si1 Si 0.5000 0.5000 0.5000
S1 S 0.0000 0.0000 0.5000
Cl1 Cl 0.0000 0.5000 0.0000
# DOS(E_F) in states/eV/atom: 0.4174
# VASP energy in eV/atom: -10.97
# Offset from the most stable computed form in eV/atom: 0.0066


Which value of DOS(E_F) does entry 1 give?
0.5811 states/eV/atom


The highest DOS(E_F) belongs to which entry?
number 4